# Cd2PbAu

A relaxed Cd2PbAu crystal (GGA-PBE, Alexandria).

Lattice parameters (Å, degrees): 5.594 5.594 5.594 132.47 132.47 69.49
Fractional positions:
Pb: 0.250 0.750 0.500
Au: 0.750 0.250 0.500
Cd: 0.000 0.000 0.000
Cd: 0.500 0.500 0.000

For the magnetic moment, the calculation gives 0.00 μB/f.u. The value obtained for the formation energy is 0.01 eV per atom.

***

# Tm8Si3Te3Se

A relaxed Tm8Si3Te3Se crystal (GGA-PBE, Alexandria).

Lattice parameters (Å, degrees): 8.257 8.257 8.345 119.66 90.00 120.00
Fractional positions:
Tm: 0.261 0.522 0.283
Tm: 0.739 0.478 0.717
Tm: 0.750 0.500 0.275
Tm: 0.250 0.500 0.725
Tm: 0.750 0.025 0.275
Tm: 0.250 0.975 0.725
Tm: 0.275 0.025 0.275
Tm: 0.725 0.975 0.725
Si: 0.500 0.000 0.500
Si: 0.500 0.500 0.500
Si: 0.000 0.500 0.500
Te: 0.000 0.000 0.000
Te: 0.000 0.500 0.000
Te: 0.500 0.500 0.000
Se: 0.000 0.000 0.500

Its raw formation energy is -15.58 eV/f.u. For the magnetic moment, the calculation gives 0.00 μB/f.u.

***

# Ca2FeRe

A relaxed Ca2FeRe crystal (GGA-PBE, Alexandria).

Lattice parameters (Å, degrees): 10.599 10.599 7.806 47.25 47.25 90.00
Last column: magnetic moment on the atom in μB.
Fractional positions:
Re: 0.000 0.000 0.000  1.10
Re: 0.750 0.250 0.500  1.10
Ca: 0.451 0.125 0.250  0.00
Ca: 0.299 0.625 0.250  0.00
Ca: 0.375 0.549 0.750  0.00
Ca: 0.875 0.701 0.750  0.00
Fe: 0.500 0.500 0.000  1.22
Fe: 0.250 0.750 0.500  1.22

For the magnetic moment, the calculation gives 2.58 μB/f.u. The value obtained for the formation energy is 0.95 eV per atom.

***

# La8Sc

A relaxed La8Sc crystal (GGA-PBE, Alexandria).

Lattice parameters (Å, degrees): 9.392 9.392 9.392 156.94 92.29 92.29
Fractional positions:
La: 0.000 0.657 0.343
La: 0.000 0.343 0.657
La: 0.669 0.000 0.669
La: 0.686 0.343 0.343
La: 0.669 0.669 0.000
La: 0.314 0.657 0.657
La: 0.331 0.000 0.331
La: 0.331 0.331 0.000
Sc: 0.000 0.000 0.000

For the magnetic moment, the calculation gives 0.00 μB/f.u. The value obtained for the formation energy is 0.09 eV per atom.

***

# TaTi2Pd

A relaxed TaTi2Pd crystal (GGA-PBE, Alexandria).

Lattice parameters (Å, degrees): 2.935 2.935 9.247 80.87 80.87 60.00
Fractional positions:
Ta: 0.500 0.500 0.501
Ti: 0.080 0.080 0.759
Ti: 0.253 0.253 0.242
Pd: 0.667 0.667 0.998

For the magnetic moment, the calculation gives 0.00 μB/f.u. The value obtained for the formation energy is -0.15 eV per atom.

***

# Pr3Nd6SmHo2

A relaxed Pr3Nd6SmHo2 crystal (GGA-PBE, Alexandria).

Lattice parameters (Å, degrees): 6.348 6.348 12.115 95.02 95.02 120.01
Fractional positions:
Pr: 0.167 0.833 0.500
Pr: 0.833 0.167 0.500
Pr: 0.500 0.500 0.500
Nd: 0.918 0.584 0.754
Nd: 0.748 0.748 0.246
Nd: 0.082 0.416 0.246
Nd: 0.584 0.918 0.754
Nd: 0.252 0.252 0.754
Nd: 0.416 0.082 0.246
Sm: 0.000 0.000 0.000
Ho: 0.333 0.667 0.000
Ho: 0.667 0.333 0.000

For the magnetic moment, the calculation gives 0.00 μB/f.u. The value obtained for the formation energy is 0.02 eV per atom.

***

# Rb4ZnIn4

A relaxed Rb4ZnIn4 crystal (GGA-PBE, Alexandria).

Lattice parameters (Å, degrees): 7.579 9.433 7.579 66.31 90.00 113.69
Fractional positions:
Rb: 0.186 0.745 0.441
Rb: 0.559 0.745 0.814
Rb: 0.441 0.255 0.559
Rb: 0.814 0.255 0.186
Zn: 0.000 0.000 0.000
In: 0.290 0.261 0.029
In: 0.971 0.261 0.710
In: 0.029 0.739 0.971
In: 0.710 0.739 0.290

For the magnetic moment, the calculation gives 0.00 μB/f.u. The value obtained for the formation energy is 0.13 eV per atom.

***

# KZr2Cd

A relaxed KZr2Cd crystal (GGA-PBE, Alexandria).

Lattice parameters (Å, degrees): 3.209 3.204 11.371 73.60 90.00 90.00
Fractional positions:
Cd: 0.000 0.536 0.463
K: 0.500 0.767 0.734
Zr: 0.000 0.945 0.055
Zr: 0.500 0.252 0.247

For the magnetic moment, the calculation gives 0.00 μB/f.u. The value obtained for the formation energy is 0.19 eV per atom.

***

# BaMnMo3

A relaxed BaMnMo3 crystal (GGA-PBE, Alexandria).

Lattice parameters (Å, degrees): 4.900 4.900 4.900 90.00 90.00 90.00
Last column: magnetic moment on the atom in μB.
Fractional positions:
Mo: 0.000 0.500 0.000  0.00
Mo: 0.000 0.000 0.500  -0.09
Mo: 0.500 0.000 0.000  0.04
Mn: 0.500 0.500 0.500  -0.03
Ba: 0.000 0.000 0.000  -0.01

For the magnetic moment, the calculation gives 0.08 μB/f.u. The value obtained for the formation energy is 3.57 eV per atom.

***

# ScBe3

A relaxed ScBe3 crystal (GGA-PBE, Alexandria).

Lattice parameters (Å, degrees): 2.557 3.584 5.369 90.00 90.00 90.00
Last column: magnetic moment on the atom in μB.
Fractional positions:
Sc: 0.000 0.500 0.328  0.14
Be: 0.000 0.000 0.917  0.00
Be: 0.500 0.000 0.597  0.00
Be: 0.500 0.500 0.824  0.00

For the magnetic moment, the calculation gives 0.18 μB/f.u. The value obtained for the formation energy is 0.22 eV per atom.

***

# PrSbRh

A relaxed PrSbRh crystal (GGA-PBE, Alexandria).

Lattice parameters (Å, degrees): 4.097 4.549 4.549 120.00 90.00 90.00
Fractional positions:
Pr: 0.666 0.333 0.667
Sb: 0.166 0.667 0.333
Rh: 0.167 0.000 0.000

Its raw formation energy is -2.68 eV/f.u. For the magnetic moment, the calculation gives 0.00 μB/f.u.

***

# KAg2Au

A relaxed KAg2Au crystal (GGA-PBE, Alexandria).

Lattice parameters (Å, degrees): 4.771 6.275 8.473 90.00 90.00 112.77
Fractional positions:
K: 0.501 0.007 0.750
K: 0.499 0.993 0.250
Ag: 0.229 0.458 0.417
Ag: 0.771 0.542 0.583
Ag: 0.229 0.458 0.083
Ag: 0.771 0.542 0.917
Au: 0.772 0.543 0.250
Au: 0.228 0.457 0.750

For the magnetic moment, the calculation gives 0.00 μB/f.u. The value obtained for the formation energy is -0.08 eV per atom.

***

Q: What is the magnetic moment in the fifth record?
A: 0.00 μB/f.u.